# 1
## LiIn2Ni2 (GGA-PBEsol)

Data for a relaxed structure of LiIn2Ni2.

The structure belongs to space group P4/mbm (No. 127); the cell edges are 7.370, 7.370 and 2.913 Å and the angles 90.00°, 90.00° and 90.00°. The distinct sites, in fractional coordinates, are Li at (0.000, 0.000, 0.000), In at (0.158, 0.342, 0.000) and Ni at (0.138, 0.638, 0.500).

# 2
## Li2InNi (GGA-PBEsol)

Data for a relaxed structure of Li2InNi.

The structure belongs to space group I4/mmm (No. 139); the cell edges are 3.699, 3.699 and 8.522 Å and the angles 90.00°, 90.00° and 90.00°. The distinct sites, in fractional coordinates, are Li at (0.000, 0.500, 0.250), In at (0.000, 0.000, 0.000) and Ni at (0.000, 0.000, 0.500).

# 3
## Li3InNi (GGA-PBEsol)

Data for a relaxed structure of Li3InNi.

The structure belongs to space group Pm-3m (No. 221); the cell edges are 4.446, 4.446 and 4.446 Å and the angles 90.00°, 90.00° and 90.00°. The distinct sites, in fractional coordinates, are Li at (0.000, 0.000, 0.500), In at (0.500, 0.500, 0.500) and Ni at (0.000, 0.000, 0.000).

# 4
## LiInNi4 (GGA-PBEsol)

Data for a relaxed structure of LiInNi4.

The structure belongs to space group F-43m (No. 216); the cell edges are 6.688, 6.688 and 6.688 Å and the angles 90.00°, 90.00° and 90.00°. The distinct sites, in fractional coordinates, are Li at (0.000, 0.000, 0.000), In at (0.250, 0.250, 0.750) and Ni at (0.125, 0.125, 0.375).

Ordered electronic total energy results: -4.2013 -3.4149 -2.7498 -5.0473; unit eV per atom.